First-principles (PBE) data for a relaxed Tb2CdGa4Au3 crystal, as listed in Alexandria via LeMat-Bulk.

formation energy	-0.55	eV per atom

a b c (Å): 4.2723 4.2723 11.2006
angles (deg): 90.00 90.00 90.00
Atoms (fractional coordinates):
1 Tb 0.5000 0.0000 0.2487
2 Tb 0.0000 0.5000 0.7513
3 Cd 0.5000 0.5000 0.5000
4 Ga 0.5000 0.5000 0.0000
5 Ga 0.0000 0.0000 0.0000
6 Ga 0.5000 0.0000 0.6447
7 Ga 0.0000 0.5000 0.3553
8 Au 0.0000 0.0000 0.5000
9 Au 0.5000 0.0000 0.8661
10 Au 0.0000 0.5000 0.1339